[1]
DFT (PBE-GGA) results for a relaxed structure of Tl2Te2Se.

Summary:
relative energy among the computed polymorphs = 53.6 meV per atom
ρ = 7.5 Mg/m³
volume = 327.7 Å³ per cell

Cell lengths 8.0085, 8.0085, 5.1099 Å; angles 90.00, 90.00, 90.00 degrees
Space group P4/mbm (No. 127)
Symmetry-distinct sites (fractional):
Tl 0.1478 0.3522 0.0000 [4 per cell]
Te 0.1741 0.6741 0.5000 [4 per cell]
Se 0.0000 0.0000 0.5000 [2 per cell]

[2]
DFT (PBE-GGA) results for a relaxed structure of TlTeSe.

Summary:
relative energy among the computed polymorphs = 100.1 meV per atom
ρ = 6.5 Mg/m³
volume = 211.5 Å³ per cell

Cell lengths 3.6647, 5.3506, 10.7862 Å; angles 90.00, 90.00, 90.00 degrees
Space group Imm2 (No. 44)
Symmetry-distinct sites (fractional):
Tl 0.0000 0.0000 0.0000 [2 per cell]
Te 0.0000 0.0000 0.3586 [2 per cell]
Se 0.0000 0.0000 0.5901 [2 per cell]

[3]
DFT (PBE-GGA) results for a relaxed structure of TlTe2Se.

Summary:
ρ = 7.6 Mg/m³
final energy = -2.846 eV/atom
volume = 354.6 Å³ per cell

Cell lengths 3.4937, 3.4937, 33.5508 Å; angles 90.00, 90.00, 120.00 degrees
Space group R-3m (No. 166, hexagonal axes)
Symmetry-distinct sites (fractional):
Tl 0.0000 0.0000 0.0000 [3 per cell]
Te 0.0000 0.0000 0.4187 [6 per cell]
Se 0.0000 0.0000 0.5000 [3 per cell]

[4]
DFT (PBE-GGA) results for a relaxed structure of Tl6Te2Se.

Summary:
relative energy among the computed polymorphs = 0.0 meV per atom
ρ = 7.5 Mg/m³
volume = 689.6 Å³ per cell

Cell lengths 18.0026, 4.6253, 8.2889 Å; angles 90.00, 92.40, 90.00 degrees
Space group C2/m (No. 12)
Symmetry-distinct sites (fractional):
Tl 0.0142 0.0000 0.2533 [4 per cell]
Tl 0.1578 0.5000 0.1028 [4 per cell]
Tl 0.1692 0.5000 0.5559 [4 per cell]
Te 0.1633 0.0000 0.8302 [4 per cell]
Se 0.0000 0.5000 0.5000 [2 per cell]

[5]
DFT (PBE-GGA) results for a relaxed structure of TlTeSe2.

Summary:
relative energy among the computed polymorphs = 147.4 meV per atom
ρ = 7.1 Mg/m³
volume = 228.2 Å³ per cell

Cell lengths 3.8805, 5.9796, 9.8349 Å; angles 90.00, 90.00, 90.00 degrees
Space group Imm2 (No. 44)
Symmetry-distinct sites (fractional):
Tl 0.0000 0.0000 0.0000 [2 per cell]
Te 0.0000 0.5000 0.1823 [2 per cell]
Se 0.0000 0.0000 0.4765 [2 per cell]
Se 0.0000 0.5000 0.7857 [2 per cell]

[6]
DFT (PBE-GGA) results for a relaxed structure of Tl4TeSe2.

Summary:
relative energy among the computed polymorphs = 40.9 meV per atom
ρ = 7.8 Mg/m³
volume = 472.1 Å³ per cell

Cell lengths 7.4161, 6.7171, 9.5204 Å; angles 90.00, 95.48, 90.00 degrees
Space group P2_1/m (No. 11)
Symmetry-distinct sites (fractional):
Tl 0.1073 0.0031 0.2163 [4 per cell]
Tl 0.3636 0.7500 0.6398 [2 per cell]
Tl 0.3695 0.2500 0.9701 [2 per cell]
Te 0.1631 0.2500 0.5714 [2 per cell]
Se 0.2081 0.7500 0.9413 [2 per cell]
Se 0.4937 0.2500 0.6866 [2 per cell]

[7]
DFT (PBE-GGA) results for a relaxed structure of TlTeSe2.

Summary:
relative energy among the computed polymorphs = 86.4 meV per atom
ρ = 7.4 Mg/m³
volume = 110.4 Å³ per cell

Cell lengths 3.0887, 5.9907, 5.9656 Å; angles 90.00, 90.28, 90.00 degrees
Space group Pm (No. 6)
Symmetry-distinct sites (fractional):
Tl 0.0000 0.0000 0.0000 [1 per cell]
Te 0.4932 0.5000 0.4997 [1 per cell]
Se 0.4938 0.0000 0.5001 [1 per cell]
Se 0.4937 0.5000 0.9997 [1 per cell]

[8]
DFT (PBE-GGA) results for a relaxed structure of TlTe2Se.

Summary:
ρ = 6.7 Mg/m³
final energy = -3.132 eV/atom
volume = 132.6 Å³ per cell

Cell lengths 4.0828, 4.0261, 8.0676 Å; angles 90.00, 90.06, 90.00 degrees
Space group Pm (No. 6)
Symmetry-distinct sites (fractional):
Tl 0.0000 0.0000 0.0000 [1 per cell]
Te 0.4980 0.5000 0.7027 [1 per cell]
Te 0.4988 0.0000 0.4410 [1 per cell]
Se 0.4999 0.5000 0.1897 [1 per cell]

[9]
DFT (PBE-GGA) results for a relaxed structure of Tl2TeSe5.

Summary:
ρ = 5.4 Mg/m³
final energy = -3.223 eV/atom
volume = 568.6 Å³ per cell

Cell lengths 14.7335, 5.5765, 8.3400 Å; angles 90.00, 123.93, 90.00 degrees
Space group Cm (No. 8)
Symmetry-distinct sites (fractional):
Tl 0.0000 0.0000 0.0000 [2 per cell]
Tl 0.0083 0.5000 0.4329 [2 per cell]
Te 0.2863 0.5000 0.4325 [2 per cell]
Se 0.2389 0.2142 0.1096 [4 per cell]
Se 0.2597 0.2138 0.6911 [4 per cell]
Se 0.4920 0.5000 0.6196 [2 per cell]

[10]
DFT (PBE-GGA) results for a relaxed structure of Tl2Te2Se5.

Summary:
relative energy among the computed polymorphs = 0.0 meV per atom
ρ = 6.3 Mg/m³
volume = 279.1 Å³ per cell

Cell lengths 4.3000, 8.3436, 8.5721 Å; angles 105.10, 101.21, 102.72 degrees
Space group P-1 (No. 2)
Symmetry-distinct sites (fractional):
Tl 0.0808 0.2236 0.3690 [2 per cell]
Te 0.2013 0.7350 0.1749 [2 per cell]
Se 0.4419 0.4563 0.7479 [2 per cell]
Se 0.4489 0.1420 0.0296 [2 per cell]
Se 0.5000 0.0000 0.5000 [1 per cell]

[11]
DFT (PBE-GGA) results for a relaxed structure of Tl2Te2Se.

Summary:
relative energy among the computed polymorphs = 26.5 meV per atom
ρ = 7.2 Mg/m³
volume = 344.3 Å³ per cell

Cell lengths 4.2343, 4.2343, 19.2010 Å; angles 90.00, 90.00, 90.00 degrees
Space group I4/mmm (No. 139)
Symmetry-distinct sites (fractional):
Tl 0.0000 0.0000 0.0844 [4 per cell]
Te 0.0000 0.5000 0.2500 [4 per cell]
Se 0.0000 0.0000 0.5000 [2 per cell]

[12]
DFT (PBE-GGA) results for a relaxed structure of Tl11TeSe5.

Summary:
ρ = 8.0 Mg/m³
final energy = -3.035 eV/atom
volume = 1154.7 Å³ per cell

Cell lengths 10.6660, 15.8016, 7.2509 Å; angles 90.00, 109.11, 90.00 degrees
Space group C2/m (No. 12)
Symmetry-distinct sites (fractional):
Tl 0.0000 0.0000 0.0000 [2 per cell]
Tl 0.0499 0.2117 0.7585 [8 per cell]
Tl 0.1448 0.5000 0.9382 [4 per cell]
Tl 0.2115 0.3825 0.4325 [8 per cell]
Te 0.0000 0.0000 0.5000 [2 per cell]
Se 0.0000 0.5000 0.5000 [2 per cell]
Se 0.2121 0.1514 0.1456 [8 per cell]

[13]
DFT (PBE-GGA) results for a relaxed structure of Tl6Te3Se.

Summary:
relative energy among the computed polymorphs = 0.0 meV per atom
ρ = 7.3 Mg/m³
volume = 767.9 Å³ per cell

Cell lengths 11.9485, 4.7961, 13.6202 Å; angles 90.00, 100.33, 90.00 degrees
Space group P2_1/m (No. 11)
Symmetry-distinct sites (fractional):
Tl 0.0334 0.2500 0.3878 [2 per cell]
Tl 0.0932 0.2500 0.9441 [2 per cell]
Tl 0.2797 0.7500 0.2853 [2 per cell]
Tl 0.3254 0.7500 0.7374 [2 per cell]
Tl 0.3811 0.7500 0.0688 [2 per cell]
Tl 0.3939 0.2500 0.5544 [2 per cell]
Te 0.0504 0.2500 0.1729 [2 per cell]
Te 0.1649 0.7500 0.4950 [2 per cell]
Te 0.3475 0.2500 0.9049 [2 per cell]
Se 0.4470 0.2500 0.3459 [2 per cell]

[14]
DFT (PBE-GGA) results for a relaxed structure of TlTe2Se.

Summary:
ρ = 6.1 Mg/m³
final energy = -2.995 eV/atom
volume = 291.9 Å³ per cell

Cell lengths 4.1931, 4.1931, 16.6050 Å; angles 90.00, 90.00, 90.00 degrees
Space group I4/mmm (No. 139)
Symmetry-distinct sites (fractional):
Tl 0.0000 0.0000 0.0000 [2 per cell]
Te 0.0000 0.5000 0.2500 [4 per cell]
Se 0.0000 0.0000 0.5000 [2 per cell]

[15]
DFT (PBE-GGA) results for a relaxed structure of TlTeSe2.

Summary:
relative energy among the computed polymorphs = 184.5 meV per atom
ρ = 6.0 Mg/m³
volume = 409.6 Å³ per cell

Cell lengths 4.0165, 4.0165, 29.3167 Å; angles 90.00, 90.00, 120.00 degrees
Space group R-3m (No. 166, hexagonal axes)
Symmetry-distinct sites (fractional):
Tl 0.0000 0.0000 0.0000 [3 per cell]
Te 0.0000 0.0000 0.5000 [3 per cell]
Se 0.0000 0.0000 0.1104 [6 per cell]

[16]
DFT (PBE-GGA) results for a relaxed structure of Tl2Te3Se4.

Summary:
ρ = 5.7 Mg/m³
final energy = -3.203 eV/atom
volume = 1294.8 Å³ per cell

Cell lengths 11.8478, 11.4044, 10.4058 Å; angles 90.00, 112.94, 90.00 degrees
Space group C2/c (No. 15)
Symmetry-distinct sites (fractional):
Tl 0.1312 0.1687 0.1636 [8 per cell]
Te 0.0000 0.2450 0.7500 [4 per cell]
Te 0.1388 0.3829 0.4876 [8 per cell]
Se 0.1501 0.3783 0.9463 [8 per cell]
Se 0.1885 0.1588 0.6126 [8 per cell]

[17]
DFT (PBE-GGA) results for a relaxed structure of TlTeSe.

Summary:
relative energy among the computed polymorphs = 254.9 meV per atom
ρ = 7.2 Mg/m³
volume = 190.7 Å³ per cell

Cell lengths 3.1173, 3.1173, 19.6244 Å; angles 90.00, 90.00, 90.00 degrees
Space group I4mm (No. 107)
Symmetry-distinct sites (fractional):
Tl 0.0000 0.0000 0.0000 [2 per cell]
Te 0.0000 0.0000 0.6720 [2 per cell]
Se 0.0000 0.0000 0.3792 [2 per cell]

[18]
DFT (PBE-GGA) results for a relaxed structure of Tl5Te2Se.

Summary:
relative energy among the computed polymorphs = 0.0 meV per atom
ρ = 5.8 Mg/m³
volume = 1560.9 Å³ per cell

Cell lengths 6.2749, 16.7774, 14.8269 Å; angles 90.00, 90.00, 90.00 degrees
Space group Cmcm (No. 63)
Symmetry-distinct sites (fractional):
Tl 0.0000 0.0516 0.1266 [8 per cell]
Tl 0.0000 0.2508 0.7500 [4 per cell]
Tl 0.0000 0.2963 0.0767 [8 per cell]
Te 0.0000 0.1438 0.5602 [8 per cell]
Se 0.0000 0.2020 0.2500 [4 per cell]

[19]
DFT (PBE-GGA) results for a relaxed structure of Tl2Te2Se.

Summary:
relative energy among the computed polymorphs = 0.0 meV per atom
ρ = 7.3 Mg/m³
volume = 679.4 Å³ per cell

Cell lengths 12.7434, 4.9706, 10.9717 Å; angles 90.00, 102.17, 90.00 degrees
Space group C2/m (No. 12)
Symmetry-distinct sites (fractional):
Tl 0.0399 0.0000 0.3397 [4 per cell]
Tl 0.1667 0.0000 0.0805 [4 per cell]
Te 0.0469 0.5000 0.8888 [4 per cell]
Te 0.1570 0.5000 0.6157 [4 per cell]
Se 0.2384 0.0000 0.6627 [4 per cell]

[20]
DFT (PBE-GGA) results for a relaxed structure of Tl6Te2Se.

Summary:
relative energy among the computed polymorphs = 27.7 meV per atom
ρ = 8.2 Mg/m³
volume = 630.5 Å³ per cell

Cell lengths 4.9152, 16.0715, 7.9812 Å; angles 90.00, 90.00, 90.00 degrees
Space group Amm2 (No. 38)
Symmetry-distinct sites (fractional):
Tl 0.0000 0.0000 0.0000 [2 per cell]
Tl 0.0000 0.1274 0.6445 [4 per cell]
Tl 0.5000 0.0000 0.3351 [2 per cell]
Tl 0.5000 0.1978 0.9563 [4 per cell]
Te 0.0000 0.1640 0.2508 [4 per cell]
Se 0.5000 0.0000 0.7189 [2 per cell]